# 1
A plane-wave DFT calculation with GGA-PBE was carried out for ThZnBi2 after structural relaxation.

The structure in POSCAR format:
```
ThZnBi2
1.0
4.197 0.000 0.000
0.000 4.197 0.000
0.000 0.000 6.513
Zn Bi Th
1 2 1
direct
0.500 0.500 0.500
0.000 0.000 0.747
0.000 0.000 0.253
0.500 0.500 0.000
```

## Properties
Space-group type: No. 123
DFT total energy: -17.5 eV for the cell shown

# 2
A plane-wave DFT calculation with GGA-PBE was carried out for CaGa2Co2 after structural relaxation.

The structure in POSCAR format:
```
CaGa2Co2
1.0
4.117 0.000 0.000
0.000 4.117 0.000
2.059 2.059 4.871
Ca Co Ga
1 2 2
direct
0.000 0.000 0.000
0.387 0.387 0.226
0.613 0.613 0.774
0.750 0.250 0.500
0.250 0.750 0.500
```

## Properties
Space-group type: No. 139
DFT total energy: -23.3 eV for the cell shown

# 3
A plane-wave DFT calculation with GGA-PBE was carried out for TcAsBr2Cl after structural relaxation.

The structure in POSCAR format:
```
TcAsBr2Cl
1.0
5.050 0.000 0.000
0.000 5.050 0.000
0.000 0.000 4.853
As Tc Br Cl
1 1 2 1
direct
0.000 0.000 0.500
0.000 0.000 0.000
0.000 0.500 0.000
0.500 0.000 0.000
0.500 0.500 0.500
```

## Properties
E_form (uncorrected): 253 meV/atom
Space-group type: No. 123
Relative energy among the computed polymorphs: 0 meV per atom

# 4
A plane-wave DFT calculation with GGA-PBE was carried out for SrBI2N after structural relaxation.

The structure in POSCAR format:
```
SrBI2N
1.0
6.381 0.000 0.000
0.000 6.381 0.000
0.000 0.000 3.009
I Sr B N
2 1 1 1
direct
0.000 0.500 0.000
0.500 0.000 0.000
0.500 0.500 0.500
0.000 0.000 0.000
0.000 0.000 0.500
```

## Properties
E_form (uncorrected): -29 meV/atom
Space-group type: No. 123
Relative energy among the computed polymorphs: 0 meV per atom

# 5
A plane-wave DFT calculation with GGA-PBE was carried out for Ba2HSe after structural relaxation.

The structure in POSCAR format:
```
Ba2HSe
1.0
4.470 0.000 0.000
2.235 3.871 0.000
2.235 1.290 7.512
Ba H Se
2 1 1
direct
0.074 0.074 0.777
0.255 0.255 0.234
0.674 0.674 0.977
0.496 0.496 0.513
```

## Properties
Space-group type: No. 160
Relative energy among the computed polymorphs: 64 meV per atom

# 6
A plane-wave DFT calculation with GGA-PBE was carried out for PrDy7Er12 after structural relaxation.

The structure in POSCAR format:
```
PrDy7Er12
1.0
9.136 0.000 -3.230
-4.568 7.912 -3.230
0.000 0.000 9.690
Pr Dy Er
1 7 12
direct
0.000 0.000 0.000
0.500 0.500 0.000
0.000 0.500 0.500
0.500 0.000 0.500
0.500 0.500 0.500
0.000 0.000 0.500
0.500 0.000 0.000
0.000 0.500 0.000
0.489 0.745 0.744
0.001 0.745 0.256
0.511 0.255 0.256
0.999 0.255 0.744
0.744 0.999 0.255
0.744 0.489 0.745
0.256 0.001 0.745
0.256 0.511 0.255
0.745 0.744 0.489
0.255 0.256 0.511
0.745 0.256 0.001
0.255 0.744 0.999
```

## Properties
Space-group type: No. 204
Relative energy among the computed polymorphs: 406 meV per atom